Entry from the Alexandria database: an optimized crystal structure of TaRe (PBE).

The space group is R-3m (No. 166, hexagonal axes) and the conventional cell measures 2.8534, 2.8534 and 28.6715 Å, with angles of 90.00, 90.00 and 120.00 degrees. The asymmetric unit holds Ta at (0.0000, 0.0000, 0.1215) and Re at (0.0000, 0.0000, 0.3702).

The calculation puts the calculated total energy at -12.02 eV/atom. The total magnetization comes out at 0.000 μB/cell. As for the density of states at the Fermi level: 9.218 states/eV per cell. Its formation energy is 0.27 eV/f.u.